No. 1
A PBEsol-optimized structure of Sr2AlNi, computed with meta-GGA SCAN.

Unit cell a=4.2318 b=4.7278 c=11.3995 alpha=90.00 beta=90.00 gamma=90.00
Element x y z (fractional)
Sr 0.0000 0.0000 0.0000
Sr 0.0000 0.5000 0.5000
Sr 0.5000 0.0000 0.2873
Sr 0.5000 0.5000 0.7873
Al 0.0000 0.0000 0.6913
Al 0.0000 0.5000 0.1913
Ni 0.5000 0.0000 0.5984
Ni 0.5000 0.5000 0.0984

Computed properties:
total DFT energy (no corrections): -68.877 eV per formula unit
formation energy from the elements: -100 meV/atom
magnetic moment: 0.0000 μB/atom

No. 2
A PBEsol-optimized structure of TlHgPb2, computed with meta-GGA SCAN.

Unit cell a=3.6603 b=4.3606 c=6.8994 alpha=90.00 beta=90.00 gamma=90.00
Element x y z (fractional)
Tl 0.0000 0.0000 0.0000
Hg 0.5000 0.5000 0.2339
Pb 0.0000 0.0000 0.4781
Pb 0.5000 0.5000 0.7364

Computed properties:
total DFT energy (no corrections): -292.034 eV per formula unit
formation energy from the elements: 13 meV/atom
magnetic moment: 0.0000 μB/atom

No. 3
A PBEsol-optimized structure of BiSeCl, computed with meta-GGA SCAN.

Unit cell a=4.0724 b=4.0724 c=19.0225 alpha=90.00 beta=90.00 gamma=120.00
Element x y z (fractional)
Bi 0.0000 0.0000 0.0000
Bi 0.3333 0.6667 0.6667
Bi 0.6667 0.3333 0.3333
Se 0.0000 0.0000 0.7495
Se 0.3333 0.6667 0.4162
Se 0.6667 0.3333 0.0828
Cl 0.0000 0.0000 0.2431
Cl 0.3333 0.6667 0.9097
Cl 0.6667 0.3333 0.5764

Computed properties:
total DFT energy (no corrections): -108.541 eV per formula unit
magnetic moment: 0.0000 μB/atom

No. 4
A PBEsol-optimized structure of CaMg8, computed with meta-GGA SCAN.

Unit cell a=7.2471 b=7.2471 c=7.2471 alpha=95.79 beta=95.79 gamma=142.98
Element x y z (fractional)
Ca 0.0000 0.0000 0.0000
Mg 0.0000 0.3395 0.3395
Mg 0.0000 0.6605 0.6605
Mg 0.3263 0.3263 0.6526
Mg 0.3263 0.6737 0.0000
Mg 0.3395 0.0000 0.3395
Mg 0.6605 0.0000 0.6605
Mg 0.6737 0.3263 0.0000
Mg 0.6737 0.6737 0.3474

Computed properties:
total DFT energy (no corrections): -49.498 eV per formula unit
formation energy from the elements: -5 meV/atom
magnetic moment: 0.0185 μB/atom

No. 5
A PBEsol-optimized structure of YAl2CuB, computed with meta-GGA SCAN.

Unit cell a=5.5325 b=5.5325 c=4.8414 alpha=90.00 beta=90.00 gamma=90.00
Element x y z (fractional)
Y 0.0000 0.0000 0.0000
Al 0.0000 0.5000 0.0000
Al 0.5000 0.0000 0.0000
Cu 0.0000 0.0000 0.5000
B 0.5000 0.5000 0.5000

Computed properties:
total DFT energy (no corrections): -55.055 eV per formula unit
formation energy from the elements: 2184 meV/atom
magnetic moment: 0.0006 μB/atom

No. 6
A PBEsol-optimized structure of LiGa2As2, computed with meta-GGA SCAN.

Unit cell a=4.7418 b=4.7418 c=9.0190 alpha=90.00 beta=90.00 gamma=90.00
Element x y z (fractional)
Li 0.0000 0.0000 0.0000
Li 0.5000 0.5000 0.5000
Ga 0.0000 0.0000 0.3663
Ga 0.0000 0.0000 0.6337
Ga 0.5000 0.5000 0.1337
Ga 0.5000 0.5000 0.8663
As 0.0000 0.5000 0.2500
As 0.0000 0.5000 0.7500
As 0.5000 0.0000 0.2500
As 0.5000 0.0000 0.7500

Computed properties:
total DFT energy (no corrections): -76.116 eV per formula unit
formation energy from the elements: -130 meV/atom
magnetic moment: 0.0000 μB/atom

No. 7
A PBEsol-optimized structure of LiInOs2, computed with meta-GGA SCAN.

Unit cell a=6.1655 b=6.1655 c=6.1655 alpha=90.00 beta=90.00 gamma=90.00
Element x y z (fractional)
Li 0.0000 0.0000 0.0000
Li 0.0000 0.5000 0.5000
Li 0.5000 0.0000 0.5000
Li 0.5000 0.5000 0.0000
In 0.2500 0.2500 0.2500
In 0.2500 0.7500 0.7500
In 0.7500 0.2500 0.7500
In 0.7500 0.7500 0.2500
Os 0.0000 0.0000 0.5000
Os 0.0000 0.5000 0.0000
Os 0.2500 0.2500 0.7500
Os 0.2500 0.7500 0.2500
Os 0.5000 0.0000 0.0000
Os 0.5000 0.5000 0.5000
Os 0.7500 0.2500 0.2500
Os 0.7500 0.7500 0.7500

Computed properties:
total DFT energy (no corrections): -178.659 eV per formula unit
formation energy from the elements: 219 meV/atom
magnetic moment: 0.0000 μB/atom

No. 8
A PBEsol-optimized structure of LiMo2Pb, computed with meta-GGA SCAN.

Unit cell a=3.7799 b=3.7799 c=4.5718 alpha=90.00 beta=90.00 gamma=90.00
Element x y z (fractional)
Li 0.0000 0.0000 0.0000
Mo 0.0000 0.5000 0.5000
Mo 0.5000 0.0000 0.5000
Pb 0.5000 0.5000 0.0000

Computed properties:
total DFT energy (no corrections): -146.286 eV per formula unit
formation energy from the elements: 414 meV/atom
magnetic moment: 0.0000 μB/atom

No. 9
A PBEsol-optimized structure of Li2CoSnO4, computed with meta-GGA SCAN.

Unit cell a=5.1922 b=3.0276 c=5.2920 alpha=90.00 beta=110.07 gamma=90.00
Element x y z (fractional)
Li 0.0000 0.0000 0.0000
Li 0.0000 0.5000 0.5000
Co 0.5000 0.0000 0.5000
Sn 0.5000 0.5000 0.0000
O 0.2558 0.0000 0.7595
O 0.2725 0.5000 0.2501
O 0.7275 0.5000 0.7499
O 0.7442 0.0000 0.2405

Computed properties:
total DFT energy (no corrections): -97.313 eV per formula unit
relative energy among the computed polymorphs: 0.0 meV/atom
magnetic moment: 0.3765 μB/atom

No. 10
A PBEsol-optimized structure of Ba3CrO, computed with meta-GGA SCAN.

Unit cell a=5.4640 b=5.4640 c=5.4640 alpha=90.00 beta=90.00 gamma=90.00
Element x y z (fractional)
Ba 0.0000 0.0000 0.5000
Ba 0.0000 0.5000 0.0000
Ba 0.5000 0.0000 0.0000
Cr 0.5000 0.5000 0.5000
O 0.0000 0.0000 0.0000

Computed properties:
total DFT energy (no corrections): -147.625 eV per formula unit
magnetic moment: 1.1094 μB/atom

No. 11
A PBEsol-optimized structure of ZrTa2Al, computed with meta-GGA SCAN.

Unit cell a=2.9166 b=2.9166 c=29.8519 alpha=90.00 beta=90.00 gamma=120.00
Element x y z (fractional)
Zr 0.0000 0.0000 0.0000
Zr 0.3333 0.6667 0.6667
Zr 0.6667 0.3333 0.3333
Ta 0.0000 0.0000 0.2443
Ta 0.0000 0.0000 0.7557
Ta 0.3333 0.6667 0.4224
Ta 0.3333 0.6667 0.9110
Ta 0.6667 0.3333 0.0890
Ta 0.6667 0.3333 0.5776
Al 0.0000 0.0000 0.5000
Al 0.3333 0.6667 0.1667
Al 0.6667 0.3333 0.8333

Computed properties:
total DFT energy (no corrections): -171.201 eV per formula unit
formation energy from the elements: 104 meV/atom
magnetic moment: 0.0000 μB/atom

No. 12
A PBEsol-optimized structure of CdHg2Sb, computed with meta-GGA SCAN.

Unit cell a=3.0928 b=5.6825 c=5.7338 alpha=90.00 beta=92.08 gamma=90.00
Element x y z (fractional)
Cd 0.0000 0.0000 0.0000
Hg 0.4226 0.0000 0.5034
Hg 0.8877 0.5000 0.5014
Sb 0.9021 0.5000 0.0018

Computed properties:
total DFT energy (no corrections): -203.939 eV per formula unit
relative energy among the computed polymorphs: 2.5 meV/atom
magnetic moment: 0.0001 μB/atom

No. 13
A PBEsol-optimized structure of RbLi2Be2F7, computed with meta-GGA SCAN.

Unit cell a=12.3269 b=4.9132 c=9.8804 alpha=90.00 beta=91.04 gamma=90.00
Element x y z (fractional)
Rb 0.2462 0.2423 0.1422
Rb 0.2462 0.2577 0.6422
Rb 0.7538 0.7423 0.3578
Rb 0.7538 0.7577 0.8578
Li 0.0000 0.1979 0.3443
Li 0.0000 0.3021 0.8443
Li 0.0000 0.6979 0.1557
Li 0.0000 0.8021 0.6557
Li 0.4961 0.2145 0.3571
Li 0.4961 0.2855 0.8571
Li 0.5039 0.7145 0.1429
Li 0.5039 0.7855 0.6429
Be 0.1290 0.6938 0.4103
Be 0.1290 0.8062 0.9103
Be 0.3626 0.7493 0.8897
Be 0.3626 0.7507 0.3897
Be 0.6374 0.2493 0.6103
Be 0.6374 0.2507 0.1103
Be 0.8710 0.1938 0.0897
Be 0.8710 0.3062 0.5897
F 0.0329 0.6707 0.8304
F 0.0329 0.8293 0.3304
F 0.1250 0.1167 0.8889
F 0.1250 0.3833 0.3889
F 0.1261 0.7335 0.0615
F 0.1261 0.7665 0.5615
F 0.2388 0.6918 0.8494
F 0.2388 0.8082 0.3494
F 0.3808 0.0581 0.8894
F 0.3808 0.4419 0.3894
F 0.3893 0.6245 0.0292
F 0.3893 0.8755 0.5292
F 0.4314 0.5999 0.7812
F 0.4314 0.9001 0.2812
F 0.5686 0.0999 0.7188
F 0.5686 0.4001 0.2188
F 0.6107 0.1245 0.4708
F 0.6107 0.3755 0.9708
F 0.6192 0.5581 0.6106
F 0.6192 0.9419 0.1106
F 0.7612 0.1918 0.6506
F 0.7612 0.3082 0.1506
F 0.8739 0.2335 0.4385
F 0.8739 0.2665 0.9385
F 0.8750 0.6167 0.6111
F 0.8750 0.8833 0.1111
F 0.9671 0.1707 0.6696
F 0.9671 0.3293 0.1696

Computed properties:
total DFT energy (no corrections): -99.028 eV per formula unit
magnetic moment: 0.0102 μB/atom

No. 14
A PBEsol-optimized structure of Ca2AlP3Pt7, computed with meta-GGA SCAN.

Unit cell a=13.7490 b=13.7490 c=13.7490 alpha=163.37 beta=163.37 gamma=23.61
Element x y z (fractional)
Ca 0.1661 0.1661 0.0000
Ca 0.8339 0.8339 0.0000
Al 0.0000 0.0000 0.0000
P 0.2500 0.7500 0.5000
P 0.3778 0.3778 0.0000
P 0.6222 0.6222 0.0000
Pt 0.0712 0.5712 0.5000
Pt 0.2933 0.2933 0.0000
Pt 0.4288 0.9288 0.5000
Pt 0.5000 0.5000 0.0000
Pt 0.5731 0.0731 0.5000
Pt 0.7067 0.7067 0.0000
Pt 0.9269 0.4269 0.5000

Computed properties:
total DFT energy (no corrections): -563.442 eV per formula unit
formation energy from the elements: -1063 meV/atom
magnetic moment: 0.0000 μB/atom

No. 15
A PBEsol-optimized structure of AgOsPb2, computed with meta-GGA SCAN.

Unit cell a=3.0298 b=3.9238 c=7.3432 alpha=90.00 beta=90.00 gamma=90.00
Element x y z (fractional)
Ag 0.0000 0.0000 0.0000
Os 0.5000 0.5000 0.1821
Pb 0.0000 0.0000 0.3963
Pb 0.5000 0.5000 0.7827

Computed properties:
total DFT energy (no corrections): -251.960 eV per formula unit
formation energy from the elements: 712 meV/atom
relative energy among the computed polymorphs: 0.0 meV/atom
magnetic moment: 0.0004 μB/atom

No. 16
A PBEsol-optimized structure of Li2GaPd, computed with meta-GGA SCAN.

Unit cell a=6.0114 b=6.0114 c=6.0114 alpha=90.00 beta=90.00 gamma=90.00
Element x y z (fractional)
Li 0.0000 0.0000 0.0000
Li 0.0000 0.5000 0.5000
Li 0.2500 0.2500 0.2500
Li 0.2500 0.7500 0.7500
Li 0.5000 0.0000 0.5000
Li 0.5000 0.5000 0.0000
Li 0.7500 0.2500 0.7500
Li 0.7500 0.7500 0.2500
Ga 0.2500 0.2500 0.7500
Ga 0.2500 0.7500 0.2500
Ga 0.7500 0.2500 0.2500
Ga 0.7500 0.7500 0.7500
Pd 0.0000 0.0000 0.5000
Pd 0.0000 0.5000 0.0000
Pd 0.5000 0.0000 0.0000
Pd 0.5000 0.5000 0.5000

Computed properties:
total DFT energy (no corrections): -56.304 eV per formula unit
formation energy from the elements: -601 meV/atom
magnetic moment: 0.0000 μB/atom

No. 17
A PBEsol-optimized structure of Zn5Cu, computed with meta-GGA SCAN.

Unit cell a=4.1751 b=2.7271 c=14.0404 alpha=90.00 beta=90.00 gamma=90.00
Element x y z (fractional)
Zn 0.0000 0.0000 0.0000
Zn 0.0000 0.0000 0.3232
Zn 0.0000 0.5000 0.5000
Zn 0.0000 0.5000 0.8232
Zn 0.5000 0.0000 0.1096
Zn 0.5000 0.0000 0.4389
Zn 0.5000 0.0000 0.7702
Zn 0.5000 0.5000 0.2702
Zn 0.5000 0.5000 0.6096
Zn 0.5000 0.5000 0.9389
Cu 0.0000 0.0000 0.6614
Cu 0.0000 0.5000 0.1614

Computed properties:
total DFT energy (no corrections): -83.106 eV per formula unit
formation energy from the elements: -55 meV/atom
magnetic moment: 0.0000 μB/atom

No. 18
A PBEsol-optimized structure of Ta3CoB, computed with meta-GGA SCAN.

Unit cell a=4.2408 b=4.2408 c=4.2408 alpha=90.00 beta=90.00 gamma=90.00
Element x y z (fractional)
Ta 0.0000 0.0000 0.5000
Ta 0.0000 0.5000 0.0000
Ta 0.5000 0.0000 0.0000
Co 0.5000 0.5000 0.5000
B 0.0000 0.0000 0.0000

Computed properties:
total DFT energy (no corrections): -223.010 eV per formula unit
formation energy from the elements: 295 meV/atom
magnetic moment: 0.0002 μB/atom

No. 19
A PBEsol-optimized structure of FeMo2Se, computed with meta-GGA SCAN.

Unit cell a=3.0722 b=4.2171 c=4.3286 alpha=90.00 beta=90.00 gamma=90.00
Element x y z (fractional)
Fe 0.0000 0.0000 0.0000
Mo 0.0000 0.5000 0.5000
Mo 0.5000 0.0000 0.5000
Se 0.5000 0.5000 0.0000

Computed properties:
total DFT energy (no corrections): -106.310 eV per formula unit
magnetic moment: 0.5886 μB/atom

No. 20
A PBEsol-optimized structure of Tm6Mn23, computed with meta-GGA SCAN.

Unit cell a=8.2240 b=8.2240 c=8.2240 alpha=60.00 beta=60.00 gamma=60.00
Element x y z (fractional)
Tm 0.2045 0.2045 0.7955
Tm 0.2045 0.7955 0.2045
Tm 0.2045 0.7955 0.7955
Tm 0.7955 0.2045 0.2045
Tm 0.7955 0.2045 0.7955
Tm 0.7955 0.7955 0.2045
Mn 0.0000 0.0000 0.5000
Mn 0.0000 0.5000 0.0000
Mn 0.0000 0.5000 0.5000
Mn 0.1354 0.6215 0.6215
Mn 0.1768 0.1768 0.1768
Mn 0.1768 0.1768 0.4695
Mn 0.1768 0.4695 0.1768
Mn 0.3785 0.3785 0.3785
Mn 0.3785 0.3785 0.8646
Mn 0.3785 0.8646 0.3785
Mn 0.4695 0.1768 0.1768
Mn 0.5000 0.0000 0.0000
Mn 0.5000 0.0000 0.5000
Mn 0.5000 0.5000 0.0000
Mn 0.5000 0.5000 0.5000
Mn 0.5305 0.8232 0.8232
Mn 0.6215 0.1354 0.6215
Mn 0.6215 0.6215 0.1354
Mn 0.6215 0.6215 0.6215
Mn 0.8232 0.5305 0.8232
Mn 0.8232 0.8232 0.5305
Mn 0.8232 0.8232 0.8232
Mn 0.8646 0.3785 0.3785

Computed properties:
total DFT energy (no corrections): -734.588 eV per formula unit
formation energy from the elements: -129 meV/atom
magnetic moment: 0.5115 μB/atom